Entry from Alexandria: crystalline Pr4Sm7Mg at its relaxed geometry (PBE-GGA).

Cell and atoms, written as POSCAR:
```
Pr4Sm7Mg
1.0
6.091 -2.989 0.000
6.091 2.989 0.000
-5.822 0.000 11.547
Pr Sm Mg
4 7 1
Cartesian
0.014 0.000 3.135
-1.047 0.000 9.905
7.408 0.000 1.642
6.347 0.000 8.412
-2.911 0.000 5.773
-4.084 0.000 11.379
0.249 0.000 6.666
3.659 0.000 2.595
2.701 0.000 8.952
6.111 0.000 4.881
10.444 0.000 0.168
3.180 0.000 5.773
```

Properties
size of the total moment = 0.0 μB/f.u.
ΔE_f = 220 meV per atom
uncorrected energy = -4.259 eV/atom